Entry from Alexandria via LeMat-Bulk: an optimized crystal structure of CsYMg2Br8 (GGA-PBE).

Calculated values
* uncorrected formation energy: -19.31 eV per formula unit
* magnetic moment: 0.000 μB/f.u.

Geometry as CIF:
```
data_CsYMg2Br8
_cell_length_a 7.016
_cell_length_b 7.133
_cell_length_c 9.943
_cell_angle_alpha 72.30
_cell_angle_beta 74.41
_cell_angle_gamma 72.55
_symmetry_space_group_name_H-M 'P 1'
_symmetry_Int_Tables_number 1
loop_
_symmetry_equiv_pos_as_xyz
'x,y,z'
loop_
_atom_site_label
_atom_site_fract_x
_atom_site_fract_y
_atom_site_fract_z
_atom_site_occupancy
Br1 0.821 0.294 0.773 1
Br2 0.615 0.702 0.467 1
Br3 0.267 0.787 0.798 1
Br4 0.733 0.213 0.202 1
Br5 0.179 0.706 0.227 1
Br6 0.274 0.237 0.954 1
Br7 0.726 0.763 0.046 1
Br8 0.385 0.298 0.533 1
Mg1 0.458 0.450 0.712 1
Mg2 0.542 0.550 0.288 1
Y1 0.000 0.000 0.000 1
Cs1 0.000 0.000 0.500 1
```

Entry from Alexandria via LeMat-Bulk: an optimized crystal structure of Tb5Ag2Pd2 (GGA-PBE).

Calculated values
* energy of formation from the pure elements: -47.8 kJ per mole of atoms
* magnetic moment: 0.000 μB/f.u.

Geometry as CIF:
```
data_Tb5Ag2Pd2
_cell_length_a 7.838
_cell_length_b 7.434
_cell_length_c 8.643
_cell_angle_alpha 115.47
_cell_angle_beta 90.00
_cell_angle_gamma 90.00
_symmetry_space_group_name_H-M 'P 1'
_symmetry_Int_Tables_number 1
loop_
_symmetry_equiv_pos_as_xyz
'x,y,z'
loop_
_atom_site_label
_atom_site_fract_x
_atom_site_fract_y
_atom_site_fract_z
_atom_site_occupancy
Ag1 0.500 0.711 0.422 1
Ag2 0.500 0.289 0.578 1
Ag3 0.000 0.789 0.578 1
Ag4 0.000 0.211 0.422 1
Tb1 0.176 0.459 0.262 1
Tb2 0.676 0.041 0.738 1
Tb3 0.324 0.697 0.738 1
Tb4 0.324 0.959 0.262 1
Tb5 0.824 0.803 0.262 1
Tb6 0.176 0.197 0.738 1
Tb7 0.824 0.541 0.738 1
Tb8 0.500 0.500 0.000 1
Tb9 0.676 0.303 0.262 1
Tb10 0.000 0.000 0.000 1
Pd1 0.631 0.872 0.000 1
Pd2 0.869 0.372 0.000 1
Pd3 0.369 0.128 0.000 1
Pd4 0.131 0.628 0.000 1
```

Entry from Alexandria via LeMat-Bulk: an optimized crystal structure of VSnPd14 (GGA-PBE).

Calculated values
* energy of formation from the pure elements: -18.1 kJ per mole of atoms
* magnetic moment: 0.740 μB/f.u.

Geometry as CIF:
```
data_VSnPd14
_cell_length_a 5.647
_cell_length_b 5.647
_cell_length_c 7.766
_cell_angle_alpha 90.00
_cell_angle_beta 90.00
_cell_angle_gamma 90.00
_symmetry_space_group_name_H-M 'P 1'
_symmetry_Int_Tables_number 1
loop_
_symmetry_equiv_pos_as_xyz
'x,y,z'
loop_
_atom_site_label
_atom_site_fract_x
_atom_site_fract_y
_atom_site_fract_z
_atom_site_occupancy
Pd1 0.375 0.875 0.000 1
Pd2 0.120 0.630 0.255 1
Pd3 0.875 0.375 0.000 1
Pd4 0.875 0.375 0.500 1
Pd5 0.375 0.375 0.000 1
Pd6 0.875 0.875 0.000 1
Pd7 0.630 0.120 0.255 1
Pd8 0.120 0.120 0.745 1
Pd9 0.375 0.875 0.500 1
Pd10 0.630 0.630 0.255 1
Pd11 0.120 0.120 0.255 1
Pd12 0.120 0.630 0.745 1
Pd13 0.630 0.630 0.745 1
Pd14 0.630 0.120 0.745 1
V1 0.875 0.875 0.500 1
Sn1 0.375 0.375 0.500 1
```